# 1
A plane-wave DFT calculation with PBE was carried out for crystalline TbCo2Si4 at its relaxed geometry.

## Properties
Its space group is Pnma (62). For the total energy, the calculation gives -179.0 eV for the cell shown.

a = 16.2408 Å, b = 3.9320 Å, c = 6.2018 Å
α = 90.00°, β = 90.00°, γ = 90.00°
With the nearest neighbours (Å) after each atom.
Fractional positions:
Tb  0.1406  0.2500  0.0122  9 Si 2.79-3.09, 4 Co 3.09-3.10
Tb  0.3594  0.7500  0.5122  9 Si 2.79-3.09, 4 Co 3.09-3.10
Tb  0.6406  0.2500  0.4878  9 Si 2.79-3.09, 4 Co 3.09-3.10
Tb  0.8594  0.7500  0.9878  9 Si 2.79-3.09, 4 Co 3.09-3.10
Co  0.0343  0.7500  0.7463  7 Si 2.32-2.45
Co  0.2120  0.2500  0.4897  7 Si 2.33-2.55
Co  0.2880  0.7500  0.9897  7 Si 2.33-2.55
Co  0.4657  0.2500  0.2463  7 Si 2.32-2.45
Co  0.5343  0.7500  0.7537  7 Si 2.32-2.45
Co  0.7120  0.2500  0.0103  7 Si 2.33-2.55
Co  0.7880  0.7500  0.5103  7 Si 2.33-2.55
Co  0.9657  0.2500  0.2537  7 Si 2.32-2.45
Si  0.0270  0.7500  0.1382  3 Co 2.32-2.43, 1 Si 2.57
Si  0.0667  0.2500  0.5271  4 Co 2.36-2.45, 1 Si 2.57
Si  0.1815  0.7500  0.6883  4 Co 2.37-2.55, 1 Si 2.48
Si  0.2003  0.7500  0.2914  3 Co 2.33-2.35, 1 Si 2.48
Si  0.2997  0.2500  0.7914  3 Co 2.33-2.35, 1 Si 2.48
Si  0.3185  0.2500  0.1883  4 Co 2.37-2.55, 1 Si 2.48
Si  0.4333  0.7500  0.0271  4 Co 2.36-2.45, 1 Si 2.57
Si  0.4730  0.2500  0.6382  3 Co 2.32-2.43, 1 Si 2.57
Si  0.5270  0.7500  0.3618  3 Co 2.32-2.43, 1 Si 2.57
Si  0.5667  0.2500  0.9729  4 Co 2.36-2.45, 1 Si 2.57
Si  0.6815  0.7500  0.8117  4 Co 2.37-2.55, 1 Si 2.48
Si  0.7003  0.7500  0.2086  3 Co 2.33-2.35, 1 Si 2.48
Si  0.7997  0.2500  0.7086  3 Co 2.33-2.35, 1 Si 2.48
Si  0.8185  0.2500  0.3117  4 Co 2.37-2.55, 1 Si 2.48
Si  0.9333  0.7500  0.4729  4 Co 2.36-2.45, 1 Si 2.57
Si  0.9730  0.2500  0.8618  3 Co 2.32-2.43, 1 Si 2.57



# 2
A plane-wave DFT calculation with PBE was carried out for crystalline TbCo9Si3 at its relaxed geometry.

## Properties
Its space group is C2/m (12). For the total energy, the calculation gives -89.2 eV for the cell shown.

a = 6.2517 Å, b = 6.2517 Å, c = 6.1300 Å
α = 98.00°, β = 98.00°, γ = 135.57°
With the nearest neighbours (Å) after each atom.
Fractional positions:
Tb  0.0000  0.0000  0.0000  14 Co 2.87-3.06, 6 Si 3.11-3.13
Co  0.0000  0.0000  0.5000  2 Si 2.36, 8 Co 2.39-2.51
Co  0.0049  0.6492  0.6485  6 Co 2.38-2.59, 3 Si 2.46-2.53
Co  0.2746  0.5044  0.7742  3 Si 2.34-2.35, 6 Co 2.39-2.59
Co  0.3508  0.9951  0.3515  6 Co 2.38-2.59, 3 Si 2.46-2.53
Co  0.4956  0.7254  0.2258  3 Si 2.34-2.35, 6 Co 2.39-2.59
Co  0.5044  0.2746  0.7742  3 Si 2.34-2.35, 6 Co 2.39-2.59
Co  0.6492  0.0049  0.6485  6 Co 2.38-2.59, 3 Si 2.46-2.53
Co  0.7254  0.4956  0.2258  3 Si 2.34-2.35, 6 Co 2.39-2.59
Co  0.9951  0.3508  0.3515  6 Co 2.38-2.59, 3 Si 2.46-2.53
Si  0.0000  0.5000  0.0000  8 Co 2.34-2.48, 2 Si 2.36
Si  0.5000  0.0000  0.0000  8 Co 2.34-2.48, 2 Si 2.36
Si  0.5000  0.5000  0.5000  10 Co 2.35-2.53



# 3
A plane-wave DFT calculation with PBE was carried out for crystalline TbCo3Si3 at its relaxed geometry.

## Properties
Its space group is Pm-3n (223). The value obtained for the offset from the most stable computed form is 0.154 eV/atom.

a = 6.1682 Å, b = 6.1682 Å, c = 6.1682 Å
α = 90.00°, β = 90.00°, γ = 90.00°
With the nearest neighbours (Å) after each atom.
Fractional positions:
Tb  0.0000  0.0000  0.0000  12 Co 3.45, 12 Si 3.45
Tb  0.5000  0.5000  0.5000  12 Co 3.45, 12 Si 3.45
Co  0.0000  0.2500  0.5000  4 Si 2.18
Co  0.0000  0.7500  0.5000  4 Si 2.18
Co  0.2500  0.5000  0.0000  4 Si 2.18
Co  0.5000  0.0000  0.2500  4 Si 2.18
Co  0.5000  0.0000  0.7500  4 Si 2.18
Co  0.7500  0.5000  0.0000  4 Si 2.18
Si  0.0000  0.5000  0.2500  4 Co 2.18
Si  0.0000  0.5000  0.7500  4 Co 2.18
Si  0.2500  0.0000  0.5000  4 Co 2.18
Si  0.5000  0.2500  0.0000  4 Co 2.18
Si  0.5000  0.7500  0.0000  4 Co 2.18
Si  0.7500  0.0000  0.5000  4 Co 2.18



# 4
A plane-wave DFT calculation with PBE was carried out for crystalline Tb4CoSi3 at its relaxed geometry.

## Properties
Its space group is Pmm2 (25). For the total energy, the calculation gives -47.2 eV for the cell shown.

a = 3.8549 Å, b = 4.2246 Å, c = 10.6323 Å
α = 90.00°, β = 90.00°, γ = 90.00°
With the nearest neighbours (Å) after each atom.
Fractional positions:
Tb  0.0000  0.0000  0.0000  6 Si 2.98-3.17, 1 Co 3.04
Tb  0.0000  0.5000  0.4907  5 Si 2.96-3.06, 2 Co 3.04
Tb  0.5000  0.0000  0.7090  7 Si 2.95-3.10
Tb  0.5000  0.5000  0.2165  4 Co 2.95, 3 Si 3.02-3.12
Co  0.0000  0.0000  0.2856  2 Si 2.39
Si  0.0000  0.5000  0.7783  2 Si 2.46
Si  0.5000  0.0000  0.4193  2 Co 2.39
Si  0.5000  0.5000  0.9227  2 Si 2.46



# 5
A plane-wave DFT calculation with PBE was carried out for crystalline TbCoSi2Tc at its relaxed geometry.

## Properties
Its space group is I-4m2 (119). For the total energy, the calculation gives -36.5 eV for the cell shown.

a = 5.6405 Å, b = 5.6405 Å, c = 5.6405 Å
α = 137.47°, β = 137.47°, γ = 61.71°
With the nearest neighbours (Å) after each atom.
Fractional positions:
Tb  0.0000  0.0000  0.0000  8 Si 3.16, 4 Tc 3.17, 4 Co 3.17
Co  0.7500  0.2500  0.5000  4 Si 2.35
Si  0.3698  0.3698  0.0000  2 Co 2.35, 2 Tc 2.35, 1 Si 2.52
Si  0.6302  0.6302  0.0000  2 Tc 2.35, 2 Co 2.35, 1 Si 2.52
Tc  0.2500  0.7500  0.5000  4 Si 2.35



# 6
A plane-wave DFT calculation with PBE was carried out for crystalline Tb2ZnCo5Si2 at its relaxed geometry.

## Properties
Its space group is P4/mbm (127). For the total energy, the calculation gives -121.0 eV for the cell shown.

a = 9.4335 Å, b = 9.4335 Å, c = 3.2652 Å
α = 90.00°, β = 90.00°, γ = 90.00°
With the nearest neighbours (Å) after each atom.
Fractional positions:
Tb  0.1771  0.3229  0.0000  3 Si 2.70-2.86, 10 Co 2.87-2.98
Tb  0.3229  0.8229  0.0000  3 Si 2.70-2.86, 10 Co 2.87-2.98
Tb  0.6771  0.1771  0.0000  3 Si 2.70-2.86, 10 Co 2.87-2.98
Tb  0.8229  0.6771  0.0000  3 Si 2.70-2.86, 10 Co 2.87-2.98
Zn  0.0000  0.0000  0.0000  8 Co 2.69
Zn  0.5000  0.5000  0.0000  8 Co 2.69
Co  0.0000  0.5000  0.5000  4 Si 2.29
Co  0.0652  0.7834  0.5000  2 Si 2.30
Co  0.2166  0.0652  0.5000  2 Si 2.30
Co  0.2834  0.5652  0.5000  2 Si 2.30
Co  0.4348  0.2834  0.5000  2 Si 2.30
Co  0.5000  0.0000  0.5000  4 Si 2.29
Co  0.5652  0.7166  0.5000  2 Si 2.30
Co  0.7166  0.4348  0.5000  2 Si 2.30
Co  0.7834  0.9348  0.5000  2 Si 2.30
Co  0.9348  0.2166  0.5000  2 Si 2.30
Si  0.1204  0.6204  0.0000  6 Co 2.29-2.30
Si  0.3796  0.1204  0.0000  6 Co 2.29-2.30
Si  0.6204  0.8796  0.0000  6 Co 2.29-2.30
Si  0.8796  0.3796  0.0000  6 Co 2.29-2.30



# 7
A plane-wave DFT calculation with PBE was carried out for crystalline CoSi2Tc at its relaxed geometry.

## Properties
Its space group is Cm (8). For the total energy, the calculation gives -30.0 eV for the cell shown.

a = 4.6049 Å, b = 4.6049 Å, c = 4.1120 Å
α = 106.56°, β = 106.56°, γ = 36.38°
With the nearest neighbours (Å) after each atom.
Fractional positions:
Co  0.0000  0.0000  0.0000  7 Si 2.42-2.55
Si  0.2563  0.2563  0.8906  3 Co 2.42-2.50, 4 Tc 2.50-2.52, 2 Si 2.68
Si  0.5066  0.5066  0.5174  3 Tc 2.44-2.50, 4 Co 2.46-2.55, 2 Si 2.68
Tc  0.7628  0.7628  0.3972  7 Si 2.44-2.52, 1 Co 2.71



# 8
A plane-wave DFT calculation with PBE was carried out for crystalline Co4Si2Tc at its relaxed geometry.

## Properties
Its space group is Immm (71). For the total energy, the calculation gives -49.6 eV for the cell shown.

a = 8.9373 Å, b = 8.9373 Å, c = 8.9373 Å
α = 163.63°, β = 155.78°, γ = 29.38°
With the nearest neighbours (Å) after each atom.
Fractional positions:
Co  0.1461  0.1461  0.0000  6 Co 2.36-2.54, 4 Si 2.44, 1 Tc 2.53
Co  0.2712  0.7712  0.5000  10 Co 2.36-2.54
Co  0.7288  0.2288  0.5000  10 Co 2.36-2.54
Co  0.8539  0.8539  0.0000  6 Co 2.36-2.54, 4 Si 2.44, 1 Tc 2.53
Si  0.4069  0.4069  0.0000  6 Co 2.44-2.67, 2 Si 2.54
Si  0.5931  0.5931  0.0000  6 Co 2.44-2.67, 2 Si 2.54
Tc  0.0000  0.0000  0.0000  2 Co 2.53, 2 Tc 2.54, 8 Si 2.78